(one)
Entry from the Alexandria database: a relaxed structure of AlAu4 (PBE).

The space group is Im-3m (No. 229) and the conventional cell measures 5.8922, 5.8922 and 5.8922 Å, with angles of 90.00, 90.00 and 90.00 degrees. The inequivalent atoms are Al at (0.0000, 0.0000, 0.0000) and Au at (0.2500, 0.2500, 0.2500).

The theoretical density is 13.23 g/cm3.

---

(two)
Entry from the Alexandria database: a relaxed structure of AlAu4 (PBE).

The space group is I4_1/a (No. 88, origin choice 2) and the conventional cell measures 5.6217, 5.6217 and 11.5884 Å, with angles of 90.00, 90.00 and 90.00 degrees. The inequivalent atoms are Al at (0.0000, 0.2500, 0.1250) and Au at (0.1554, 0.0182, 0.7089).

The theoretical density is 14.78 g/cm3.

---

Least stable structure among those shown: (one).